No. 1
{
  "formula": "RbCo2Os",
  "functional": "PBE",
  "state": "optimized geometry",
  "lattice": [[0.000, 3.236, 3.236], [3.236, 0.000, 3.236], [3.236, 3.236, 0.000]],
  "species": ["Rb", "Co", "Co", "Os"],
  "fractional_positions": [[0.000, 0.000, 0.000], [0.250, 0.250, 0.250], [0.750, 0.750, 0.750], [0.500, 0.500, 0.500]],
  "ef_mev_per_atom": 1696,
  "de_polymorph_ev_per_atom": 0.294,
  "m_tot_mub_per_fu": 5.00
}



No. 2
{
  "formula": "RbCo2Os",
  "functional": "PBE",
  "state": "optimized geometry",
  "lattice": [[-3.663, 3.663, 3.637], [3.663, -3.663, 3.637], [3.663, 3.663, -3.637]],
  "species": ["Rb", "Rb", "Co", "Co", "Co", "Co", "Os", "Os"],
  "fractional_positions": [[0.000, 0.000, 0.000], [0.750, 0.250, 0.500], [0.242, 0.125, 0.617], [0.375, 0.758, 0.883], [0.508, 0.625, 0.383], [0.875, 0.492, 0.117], [0.250, 0.750, 0.500], [0.500, 0.500, 0.000]],
  "ef_mev_per_atom": 1402,
  "de_polymorph_ev_per_atom": 0.000,
  "m_tot_mub_per_fu": 2.81
}



No. 3
{
  "formula": "RbCoOs2",
  "functional": "PBE",
  "state": "optimized geometry",
  "lattice": [[-2.479, 2.479, 8.162], [2.479, -2.479, 8.162], [2.479, 2.479, -8.162]],
  "species": ["Rb", "Rb", "Co", "Co", "Os", "Os", "Os", "Os"],
  "fractional_positions": [[0.375, 0.625, 0.750], [0.625, 0.375, 0.250], [0.125, 0.875, 0.250], [0.875, 0.125, 0.750], [0.000, 0.000, 0.000], [0.000, 0.000, 0.500], [0.000, 0.500, 0.000], [0.500, 0.000, 0.500]],
  "ef_mev_per_atom": 1610,
  "de_polymorph_ev_per_atom": 0.000,
  "m_tot_mub_per_fu": 1.41
}



No. 4
{
  "formula": "RbCoOs2",
  "functional": "PBE",
  "state": "optimized geometry",
  "lattice": [[0.000, 3.185, 3.185], [3.185, 0.000, 3.185], [3.185, 3.185, 0.000]],
  "species": ["Rb", "Co", "Os", "Os"],
  "fractional_positions": [[0.000, 0.000, 0.000], [0.500, 0.500, 0.500], [0.250, 0.250, 0.250], [0.750, 0.750, 0.750]],
  "ef_mev_per_atom": 2290,
  "de_polymorph_ev_per_atom": 0.681,
  "m_tot_mub_per_fu": 0.00
}



No. 5
{
  "formula": "RbCoSb2Os",
  "functional": "PBE",
  "state": "optimized geometry",
  "lattice": [[5.066, 0.000, 0.000], [0.000, 5.066, 0.000], [0.000, 0.000, 6.490]],
  "species": ["Rb", "Co", "Sb", "Sb", "Os"],
  "fractional_positions": [[0.000, 0.000, 0.000], [0.500, 0.500, 0.000], [0.000, 0.500, 0.500], [0.500, 0.000, 0.500], [0.000, 0.000, 0.500]],
  "m_tot_mub_per_fu": 2.40,
  "e_form_raw_ev_per_fu": 5.89
}



No. 6
{
  "formula": "RbCo2SiOs",
  "functional": "PBE",
  "state": "optimized geometry",
  "lattice": [[4.874, 0.000, 0.000], [0.000, 4.874, 0.000], [0.000, 0.000, 4.624]],
  "species": ["Rb", "Co", "Co", "Si", "Os"],
  "fractional_positions": [[0.000, 0.000, 0.000], [0.000, 0.500, 0.500], [0.500, 0.000, 0.500], [0.500, 0.500, 0.000], [0.500, 0.500, 0.500]],
  "m_tot_mub_per_fu": 4.74,
  "e_form_raw_ev_per_fu": 4.56
}



No. 7
{
  "formula": "RbTaCo2Os",
  "functional": "PBE",
  "state": "optimized geometry",
  "lattice": [[4.895, 0.000, 0.000], [0.000, 4.895, 0.000], [0.000, 0.000, 4.779]],
  "species": ["Rb", "Ta", "Co", "Co", "Os"],
  "fractional_positions": [[0.000, 0.000, 0.000], [0.500, 0.500, 0.000], [0.000, 0.500, 0.500], [0.500, 0.000, 0.500], [0.500, 0.500, 0.500]],
  "ef_mev_per_atom": 1388,
  "m_tot_mub_per_fu": 3.64
}



No. 8
{
  "formula": "RbCo2TcOs",
  "functional": "PBE",
  "state": "optimized geometry",
  "lattice": [[4.715, 0.000, 0.000], [0.000, 4.715, 0.000], [0.000, 0.000, 4.727]],
  "species": ["Rb", "Co", "Co", "Tc", "Os"],
  "fractional_positions": [[0.000, 0.000, 0.000], [0.000, 0.500, 0.500], [0.500, 0.000, 0.500], [0.500, 0.500, 0.500], [0.500, 0.500, 0.000]],
  "ef_mev_per_atom": 1603,
  "m_tot_mub_per_fu": 1.41
}



No. 9
{
  "formula": "Rb2YCoOs",
  "functional": "PBE",
  "state": "optimized geometry",
  "lattice": [[6.564, 0.000, 0.000], [0.000, 6.564, 0.000], [0.000, 0.000, 4.440]],
  "species": ["Rb", "Rb", "Y", "Co", "Os"],
  "fractional_positions": [[0.000, 0.500, 0.000], [0.500, 0.000, 0.000], [0.000, 0.000, 0.500], [0.500, 0.500, 0.500], [0.500, 0.500, 0.000]],
  "ef_mev_per_atom": 1621,
  "m_tot_mub_per_fu": 2.20
}



No. 10
{
  "formula": "RbYCoOs2",
  "functional": "PBE",
  "state": "optimized geometry",
  "lattice": [[4.639, 0.000, 0.000], [0.000, 4.639, 0.000], [0.000, 0.000, 5.068]],
  "species": ["Rb", "Y", "Co", "Os", "Os"],
  "fractional_positions": [[0.000, 0.000, 0.000], [0.500, 0.500, 0.000], [0.500, 0.500, 0.500], [0.000, 0.500, 0.500], [0.500, 0.000, 0.500]],
  "ef_mev_per_atom": 1188,
  "m_tot_mub_per_fu": 0.00
}



No. 11
{
  "formula": "RbZr2CoOs",
  "functional": "PBE",
  "state": "optimized geometry",
  "lattice": [[4.855, 0.000, 0.000], [0.000, 4.855, 0.000], [0.000, 0.000, 4.755]],
  "species": ["Rb", "Zr", "Zr", "Co", "Os"],
  "fractional_positions": [[0.000, 0.000, 0.000], [0.000, 0.500, 0.500], [0.500, 0.000, 0.500], [0.000, 0.000, 0.500], [0.500, 0.500, 0.000]],
  "ef_mev_per_atom": 1448,
  "m_tot_mub_per_fu": 0.00
}



No. 12
{
  "formula": "CoRe2Os",
  "functional": "PBE",
  "state": "optimized geometry",
  "lattice": [[0.000, 3.043, 3.043], [3.043, 0.000, 3.043], [3.043, 3.043, 0.000]],
  "species": ["Co", "Re", "Re", "Os"],
  "fractional_positions": [[0.000, 0.000, 0.000], [0.250, 0.250, 0.250], [0.750, 0.750, 0.750], [0.500, 0.500, 0.500]],
  "ef_mev_per_atom": 452,
  "de_polymorph_ev_per_atom": 0.504,
  "m_tot_mub_per_fu": 0.91
}